Entry from the Alexandria database: a relaxed TbNdDy2Er6 crystal (PBE).

CIF file:
```
data_TbNdDy2Er6
_chemical_formula_sum 'Tb2 Nd2 Dy4 Er12'
_space_group_name_H-M_alt 'P 1 21/c 1'
_space_group_IT_number 14
_space_group_name_Hall '-P 2ybc'
_cell_length_a 8.369
_cell_length_b 10.185
_cell_length_c 8.493
_cell_angle_alpha 90.00
_cell_angle_beta 114.16
_cell_angle_gamma 90.00
loop_
_atom_site_label
_atom_site_type_symbol
_atom_site_fract_x
_atom_site_fract_y
_atom_site_fract_z
_atom_site_occupancy
Tb1 Tb 0.000 0.000 0.000 1
Nd1 Nd 0.500 0.000 0.500 1
Dy1 Dy 0.240 0.028 0.717 1
Er1 Er 0.052 0.208 0.314 1
Er2 Er 0.326 0.692 0.569 1
Er3 Er 0.381 0.160 0.117 1
```

Energy of formation from the pure elements   0.237 eV per atom
DOS at the Fermi energy   15.42 states/eV/f.u.
Calculated density   8.20 g/cm³